Material: Pu3Hg2Br8
Method: DFT, PBE-GGA
State: optimized geometry

E_tot: -5.656 eV/atom
space-group type: P6_3mc (186)
raw formation energy: -1.273 eV/atom

Lattice parameters (Å, degrees): 8.612 8.612 19.861 90.00 90.00 120.00
Fractional positions:
Pu: 0.166 0.333 0.000
Pu: 0.166 0.834 0.000
Pu: 0.333 0.166 0.500
Pu: 0.667 0.834 0.000
Pu: 0.834 0.166 0.500
Pu: 0.834 0.667 0.500
Hg: 0.333 0.667 0.256
Hg: 0.333 0.667 0.726
Hg: 0.667 0.333 0.226
Hg: 0.667 0.333 0.756
Br: 0.000 0.000 0.084
Br: 0.000 0.000 0.584
Br: 0.017 0.508 0.079
Br: 0.158 0.317 0.421
Br: 0.158 0.842 0.421
Br: 0.317 0.158 0.921
Br: 0.333 0.667 0.917
Br: 0.492 0.508 0.079
Br: 0.492 0.983 0.079
Br: 0.508 0.017 0.579
Br: 0.508 0.492 0.579
Br: 0.667 0.333 0.417
Br: 0.683 0.842 0.421
Br: 0.842 0.158 0.921
Br: 0.842 0.683 0.921
Br: 0.983 0.492 0.579